Computed, not measured: crystalline HfRhSeBr2 at its relaxed geometry at the PBE level of DFT.

abc: 5.2278 5.2278 5.1713
angles: 90.00 90.00 90.00
Last column: nearest neighbours and their distance in Å.
Element x y z (fractional)
1 Rh 0.5000 0.5000 0.5000  8 Br 3.68, 4 Se 3.70
2 Hf 0.0000 0.0000 0.0000  2 Se 2.59, 4 Br 2.61
3 Se 0.0000 0.0000 0.5000  2 Hf 2.59
4 Br 0.0000 0.5000 0.0000  2 Hf 2.61
5 Br 0.5000 0.0000 0.0000  2 Hf 2.61

## Properties
ΔE_f (raw)	66.7	meV/atom
V	141.33	Å³ per cell
space group	P4/mmm (123)